## Li2ZrCu (GGA-PBE)

Data for a geometry-optimized Li2ZrCu structure.

```
Li2ZrCu
1.0
-2.859 -0.557 3.331
-4.048 1.770 -0.239
-3.530 -2.615 -0.528
Cu Li Zr
1 2 1
direct
0.000 0.000 0.000 Cu
0.750 0.750 0.750 Li
0.250 0.250 0.250 Li
0.500 0.500 0.500 Zr
```

Results
formation energy = 0.306 eV per atom
crystal system = cubic
Fermi-level density of states = 1.24 states/eV/atom
symmetry = Fm-3m, No. 225


## KBa2NaS (GGA-PBE)

Data for a geometry-optimized KBa2NaS structure.

```
KBa2NaS
1.0
6.232 0.000 0.000
0.000 6.232 0.000
0.000 0.000 6.407
S Ba Na K
1 2 1 1
direct
0.000 0.000 0.000 S
0.500 0.000 0.000 Ba
0.000 0.500 0.000 Ba
0.500 0.500 0.500 Na
0.000 0.000 0.500 K
```

Results
energy relative to the elements, uncorrected = -0.704 eV per atom
crystal system = tetragonal
Fermi-level density of states = 0.77 states/eV/atom
symmetry = P4/mmm, No. 123